Material: Na3Ho3WS8
Method: DFT, PBE-GGA
State: optimized geometry

Structure (POSCAR):
```
Na3Ho3WS8
1.0
3.859 2.228 6.787
-3.859 2.228 6.787
0.000 -4.456 6.787
Na Ho W S
3 3 1 8
Direct
0.000 0.500 0.500
0.500 0.000 0.500
0.500 0.500 0.000
0.000 0.000 0.500
0.000 0.500 0.000
0.500 0.000 0.000
0.500 0.500 0.500
0.242 0.242 0.242
0.264 0.724 0.724
0.276 0.276 0.736
0.276 0.736 0.276
0.724 0.264 0.724
0.724 0.724 0.264
0.736 0.276 0.276
0.758 0.758 0.758
```

Summary:
Space group   R-3m (166)
Raw formation energy   -1.498 eV per atom